[1]
Sr5Nb4O15 | PBE | relaxed

Unit cell a=9.8402 b=5.6737 c=11.4788 alpha=90.00 beta=90.24 gamma=90.00
With the nearest neighbours (Å) after each atom.
Space group P2/m (No. 10)
Symmetry-distinct sites (fractional):
Sr1 0.0000 0.0000 0.0000 (multiplicity 1)  12 O 2.75-2.84
Sr2 0.1669 0.5000 0.2201 (multiplicity 2)  7 O 2.54-2.85
Sr3 0.1683 0.5000 0.5644 (multiplicity 2)  3 O 2.51-2.53
Sr4 0.3324 0.0000 0.4349 (multiplicity 2)  3 O 2.52-2.54
Sr5 0.3330 0.0000 0.7802 (multiplicity 2)  7 O 2.56-2.85
Sr6 0.5000 0.5000 0.0000 (multiplicity 1)  12 O 2.74-2.85
Nb1 0.0010 0.0000 0.3238 (multiplicity 2)  3 O 1.87
Nb2 0.1653 0.5000 0.8933 (multiplicity 2)  6 O 1.95-2.05
Nb3 0.3344 0.0000 0.1069 (multiplicity 2)  6 O 1.94-2.05
Nb4 0.4989 0.5000 0.6767 (multiplicity 2)  3 O 1.87
O1 0.0000 0.5000 0.0000 (multiplicity 1)  2 Nb 2.04
O2 0.0788 0.2463 0.8052 (multiplicity 4)  2 Nb 1.95-2.18
O3 0.0871 0.2568 0.3950 (multiplicity 4)  1 Nb 1.87
O4 0.1686 0.0000 0.1986 (multiplicity 2)  1 Nb 1.94
O5 0.1703 0.0000 0.6061 (multiplicity 2)  1 Nb 1.87
O6 0.2493 0.2498 0.0002 (multiplicity 4)  2 Nb 2.05
O7 0.3296 0.5000 0.3929 (multiplicity 2)  1 Nb 1.87
O8 0.3319 0.5000 0.8025 (multiplicity 2)  1 Nb 1.95
O9 0.4134 0.2429 0.6050 (multiplicity 4)  1 Nb 1.87
O10 0.4215 0.2542 0.1941 (multiplicity 4)  2 Nb 1.95-2.18
O11 0.5000 0.0000 0.0000 (multiplicity 1)  2 Nb 2.04


[2]
SrNb2O6 | PBE | relaxed

Unit cell a=7.7157 b=5.5925 c=11.0688 alpha=90.00 beta=90.36 gamma=90.00
With the nearest neighbours (Å) after each atom.
Space group P2_1/c (No. 14)
Symmetry-distinct sites (fractional):
Sr1 0.2499 0.0367 0.0385 (multiplicity 4)  8 O 2.51-2.67
Nb1 0.0108 0.5281 0.1444 (multiplicity 4)  5 O 1.90-2.11
Nb2 0.4774 0.0351 0.3569 (multiplicity 4)  5 O 1.90-2.13
O1 0.0367 0.7218 0.9733 (multiplicity 4)  1 Nb 1.94
O2 0.0528 0.6308 0.7096 (multiplicity 4)  2 Nb 1.91-2.06
O3 0.2472 0.1506 0.3718 (multiplicity 4)  2 Nb 1.90-2.11
O4 0.2524 0.0373 0.6481 (multiplicity 4)  2 Nb 1.90-2.13
O5 0.4445 0.6367 0.7103 (multiplicity 4)  2 Nb 1.90-2.07
O6 0.4638 0.7229 0.9734 (multiplicity 4)  1 Nb 1.94


[3]
Sr4Nb2O9 | PBE | relaxed

Unit cell a=5.8992 b=5.9045 c=15.3608 alpha=89.99 beta=90.00 gamma=60.05
With the nearest neighbours (Å) after each atom.
Space group P-1 (No. 2)
Symmetry-distinct sites (fractional):
Sr1 0.0000 0.0000 0.0000 (multiplicity 1)  6 O 2.42-2.43
Sr2 0.0000 0.0000 0.5000 (multiplicity 1)  6 O 2.41-2.43
Sr3 0.0005 0.0000 0.2501 (multiplicity 2)  3 O 2.51
Sr4 0.3307 0.3367 0.6349 (multiplicity 2)  6 O 2.43-2.63
Sr5 0.3342 0.3318 0.8637 (multiplicity 2)  6 O 2.44-2.62
Nb1 0.3335 0.3341 0.1529 (multiplicity 2)  3 O 1.90
Nb2 0.3346 0.3300 0.3483 (multiplicity 2)  3 O 1.90
O1 0.0349 0.4072 0.2511 (multiplicity 2)  2 Nb 2.18-2.19
O2 0.0764 0.6528 0.1010 (multiplicity 2)  1 Nb 1.90
O3 0.0815 0.6423 0.4033 (multiplicity 2)  1 Nb 1.90
O4 0.2705 0.0790 0.1003 (multiplicity 2)  1 Nb 1.90
O5 0.2755 0.0717 0.4000 (multiplicity 2)  1 Nb 1.90
O6 0.3445 0.7333 0.6011 (multiplicity 2)  1 Nb 1.90
O7 0.3501 0.7260 0.9002 (multiplicity 2)  1 Nb 1.90
O8 0.4072 0.5577 0.2508 (multiplicity 2)  2 Nb 2.18-2.19
O9 0.4408 0.9670 0.7503 (multiplicity 2)  2 Nb 2.19


[4]
SrNbO3 | PBE | relaxed

Unit cell a=5.7323 b=8.1080 c=5.7096 alpha=90.00 beta=90.00 gamma=90.00
With the nearest neighbours (Å) after each atom.
Space group Pnma (No. 62)
Symmetry-distinct sites (fractional):
Sr1 0.0207 0.2500 0.0020 (multiplicity 4)  8 O 2.61-2.84
Nb1 0.0000 0.0000 0.5000 (multiplicity 4)  6 O 2.04-2.05
O1 0.0071 0.7500 0.4548 (multiplicity 4)  2 Nb 2.04
O2 0.2217 0.5231 0.7789 (multiplicity 8)  2 Nb 2.04-2.05


| no. | total energy (eV per cell) |
| --- | --- |
| 1 | -382.5 |
| 2 | -306.1 |
| 3 | -229.0 |
| 4 | -161.8 |